1.
# LaZr2Cd | Alexandria | GGA-PBE | relaxed
# magnetic moment	0.01	Bohr magnetons per cell
# V	25.3	A^3/atom
# total energy	-5.61	eV per atom
data_LaZr2Cd
_chemical_formula_sum 'La3 Zr6 Cd3'
_symmetry_space_group_name_H-M 'R -3 m'
_symmetry_Int_Tables_number 166
_symmetry_space_group_name_Hall '-R 3 2"'
_cell_length_a 3.3479
_cell_length_b 3.3479
_cell_length_c 31.2477
_cell_angle_alpha 90.00
_cell_angle_beta 90.00
_cell_angle_gamma 120.00
loop_
_atom_site_label
_atom_site_type_symbol
_atom_site_fract_x
_atom_site_fract_y
_atom_site_fract_z
La1 La 0.0000 0.0000 0.0000
Zr1 Zr 0.0000 0.0000 0.2462
Cd1 Cd 0.0000 0.0000 0.5000

---

2.
# LaZr2Cd | Alexandria | GGA-PBE | relaxed
# magnetic moment	0.00	Bohr magnetons per cell
# V	25.1	A^3/atom
# total energy	-5.69	eV per atom
data_LaZr2Cd
_chemical_formula_sum 'La2 Zr4 Cd2'
_symmetry_space_group_name_H-M 'I -4 m 2'
_symmetry_Int_Tables_number 119
_symmetry_space_group_name_Hall 'I -4 -2'
_cell_length_a 4.642
_cell_length_b 4.642
_cell_length_c 9.323
_cell_angle_alpha 90.00
_cell_angle_beta 90.00
_cell_angle_gamma 90.00
loop_
_atom_site_label
_atom_site_type_symbol
_atom_site_fract_x
_atom_site_fract_y
_atom_site_fract_z
La1 La 0.000 0.000 0.000
Zr1 Zr 0.000 0.000 0.500
Zr2 Zr 0.000 0.500 0.250
Cd1 Cd 0.000 0.500 0.750

---

3.
# La2Zr2Cd | Alexandria | GGA-PBE | relaxed
# magnetic moment	0.00	Bohr magnetons per cell
# V	28.9	A^3/atom
# total energy	-5.44	eV per atom
data_La2Zr2Cd
_chemical_formula_sum 'La4 Zr4 Cd2'
_symmetry_space_group_name_H-M 'P 4/m b m'
_symmetry_Int_Tables_number 127
_symmetry_space_group_name_Hall '-P 4 2ab'
_cell_length_a 7.791
_cell_length_b 7.791
_cell_length_c 4.760
_cell_angle_alpha 90.00
_cell_angle_beta 90.00
_cell_angle_gamma 90.00
loop_
_atom_site_label
_atom_site_type_symbol
_atom_site_fract_x
_atom_site_fract_y
_atom_site_fract_z
La1 La 0.164 0.336 0.000
Zr1 Zr 0.138 0.638 0.500
Cd1 Cd 0.000 0.000 0.500

---

Question: The highest total energy belongs to which entry?
Answer: La2Zr2Cd

---

Copy entry 3 word for word.
# La2Zr2Cd | Alexandria | GGA-PBE | relaxed
# magnetic moment	0.00	Bohr magnetons per cell
# V	28.9	A^3/atom
# total energy	-5.44	eV per atom
data_La2Zr2Cd
_chemical_formula_sum 'La4 Zr4 Cd2'
_symmetry_space_group_name_H-M 'P 4/m b m'
_symmetry_Int_Tables_number 127
_symmetry_space_group_name_Hall '-P 4 2ab'
_cell_length_a 7.791
_cell_length_b 7.791
_cell_length_c 4.760
_cell_angle_alpha 90.00
_cell_angle_beta 90.00
_cell_angle_gamma 90.00
loop_
_atom_site_label
_atom_site_type_symbol
_atom_site_fract_x
_atom_site_fract_y
_atom_site_fract_z
La1 La 0.164 0.336 0.000
Zr1 Zr 0.138 0.638 0.500
Cd1 Cd 0.000 0.000 0.500